Record 1
A plane-wave DFT calculation with meta-GGA SCAN was carried out for a PBEsol-optimized structure of ZrCrHS2.

It has space group P4/mmm (No. 123), with a = 4.4269 Å, b = 4.4269 Å, c = 3.4014 Å, α = 90.00°, β = 90.00° and γ = 90.00°. The distinct sites, in fractional coordinates, are Zr at (0.0000, 0.0000, 0.0000), Cr at (0.5000, 0.5000, 0.0000), H at (0.0000, 0.0000, 0.5000) and S at (0.0000, 0.5000, 0.5000).

Its final energy is -14.78 eV per atom.

***

Record 2
A plane-wave DFT calculation with meta-GGA SCAN was carried out for a PBEsol-optimized structure of BeCoIr3.

It has space group Pm-3m (No. 221), with a = 4.3704 Å, b = 4.3704 Å, c = 4.3704 Å, α = 90.00°, β = 90.00° and γ = 90.00°. The distinct sites, in fractional coordinates, are Be at (0.0000, 0.0000, 0.0000), Co at (0.5000, 0.5000, 0.5000) and Ir at (0.0000, 0.5000, 0.5000).

Its final energy is -45.32 eV per atom.

***

Record 3
A plane-wave DFT calculation with meta-GGA SCAN was carried out for a PBEsol-optimized structure of MgFeSb2Se.

It has space group P4/mmm (No. 123), with a = 5.3607 Å, b = 5.3607 Å, c = 4.7749 Å, α = 90.00°, β = 90.00° and γ = 90.00°. The distinct sites, in fractional coordinates, are Mg at (0.0000, 0.0000, 0.0000), Fe at (0.5000, 0.5000, 0.0000), Sb at (0.0000, 0.5000, 0.5000) and Se at (0.0000, 0.0000, 0.5000).

Its final energy is -22.74 eV per atom.

***

Record 4
A plane-wave DFT calculation with meta-GGA SCAN was carried out for a PBEsol-optimized structure of BaRu2Se.

It has space group C2/m (No. 12), with a = 6.0464 Å, b = 9.2246 Å, c = 3.1163 Å, α = 90.00°, β = 119.79° and γ = 90.00°. The distinct sites, in fractional coordinates, are Ba at (0.0000, 0.0000, 0.0000), Ru at (0.2500, 0.2500, 0.0000) and Se at (0.0000, 0.5000, 0.0000).

Its final energy is -31.50 eV per atom.

***

Record 5
A plane-wave DFT calculation with meta-GGA SCAN was carried out for a PBEsol-optimized structure of Sr2CdCu.

It has space group P4/mmm (No. 123), with a = 3.7661 Å, b = 3.7661 Å, c = 7.9703 Å, α = 90.00°, β = 90.00° and γ = 90.00°. The distinct sites, in fractional coordinates, are Sr at (0.0000, 0.0000, 0.2304), Cd at (0.5000, 0.5000, 0.5000) and Cu at (0.5000, 0.5000, 0.0000).

Its final energy is -22.67 eV per atom.

***

Record 6
A plane-wave DFT calculation with meta-GGA SCAN was carried out for a PBEsol-optimized structure of Ga2Ag2Sn.

It has space group P4/mbm (No. 127), with a = 7.8158 Å, b = 7.8158 Å, c = 3.0838 Å, α = 90.00°, β = 90.00° and γ = 90.00°. The distinct sites, in fractional coordinates, are Ga at (0.1707, 0.3293, 0.0000), Ag at (0.1279, 0.6279, 0.5000) and Sn at (0.0000, 0.0000, 0.5000).

Its final energy is -26.11 eV per atom. The value obtained for the offset from the most stable computed form is 31 meV per atom.

***

Record 7
A plane-wave DFT calculation with meta-GGA SCAN was carried out for a PBEsol-optimized structure of Sc3Sb.

It has space group P6_3/mmc (No. 194), with a = 6.3143 Å, b = 6.3143 Å, c = 4.9925 Å, α = 90.00°, β = 90.00° and γ = 120.00°. The distinct sites, in fractional coordinates, are Sc at (0.1678, 0.3357, 0.2500) and Sb at (0.3333, 0.6667, 0.7500).

Its final energy is -20.52 eV per atom. The value obtained for the offset from the most stable computed form is 25 meV per atom.

***

Record 8
A plane-wave DFT calculation with meta-GGA SCAN was carried out for a PBEsol-optimized structure of Mg5Ir.

It has space group F-43m (No. 216), with a = 7.6345 Å, b = 7.6345 Å, c = 7.6345 Å, α = 90.00°, β = 90.00° and γ = 90.00°. The distinct sites, in fractional coordinates, are Mg at (0.0000, 0.0000, 0.0000), Mg at (0.1241, 0.1241, 0.3759) and Ir at (0.2500, 0.2500, 0.7500).

Its final energy is -15.86 eV per atom. The value obtained for the offset from the most stable computed form is 376 meV per atom.

***

Record 9
A plane-wave DFT calculation with meta-GGA SCAN was carried out for a PBEsol-optimized structure of Ba2AsF.

It has space group I-42d (No. 122), with a = 6.2957 Å, b = 6.2957 Å, c = 14.4017 Å, α = 90.00°, β = 90.00° and γ = 90.00°. The distinct sites, in fractional coordinates, are Ba at (0.1969, 0.2500, 0.1250), As at (0.0000, 0.0000, 0.5000) and F at (0.0000, 0.0000, 0.0000).

Its final energy is -27.78 eV per atom.

***

Record 10
A plane-wave DFT calculation with meta-GGA SCAN was carried out for a PBEsol-optimized structure of ZnCoF6.

It has space group R-3 (No. 148, hexagonal axes), with a = 4.8397 Å, b = 4.8397 Å, c = 13.0896 Å, α = 90.00°, β = 90.00° and γ = 120.00°. The distinct sites, in fractional coordinates, are Zn at (0.0000, 0.0000, 0.0000), Co at (0.0000, 0.0000, 0.5000) and F at (0.0127, 0.3085, 0.5789).

Its final energy is -8.60 eV per atom.

***

Record 11
A plane-wave DFT calculation with meta-GGA SCAN was carried out for a PBEsol-optimized structure of BaLi2Ru.

It has space group P2/m (No. 10), with a = 3.2287 Å, b = 4.8481 Å, c = 5.4251 Å, α = 90.00°, β = 102.29° and γ = 90.00°. The distinct sites, in fractional coordinates, are Ba at (0.0000, 0.0000, 0.0000), Li at (0.2978, 0.5000, 0.6743) and Ru at (0.5000, 0.0000, 0.5000).

Its final energy is -19.28 eV per atom. The value obtained for the offset from the most stable computed form is 0 meV per atom.

***

Record 12
A plane-wave DFT calculation with meta-GGA SCAN was carried out for a PBEsol-optimized structure of Si2Ni3H4O9.

It has space group P31m (No. 157), with a = 5.2708 Å, b = 5.2708 Å, c = 7.1210 Å, α = 90.00°, β = 90.00° and γ = 120.00°. The distinct sites, in fractional coordinates, are Si at (0.3333, 0.6667, 0.0000), Ni at (0.0000, 0.3322, 0.3845), H at (0.0000, 0.0000, 0.1002), H at (0.0000, 0.6513, 0.6545), O at (0.0000, 0.0000, 0.2373), O at (0.0000, 0.5317, 0.9116), O at (0.0000, 0.6647, 0.5169) and O at (0.3333, 0.6667, 0.2251).

Its final energy is -9.54 eV per atom.

***

Look up the final energy of the fourth one. -31.50 eV per atom